Entry from Alexandria: a geometry-optimized La3BiTe2 structure (PBE).

a b c (Å): 4.625 6.533 13.881
angles (deg): 90.00 90.00 90.00
Space group Immm (No. 71)
Unique sites:
La: 0.000 0.000 0.000 (multiplicity 2)
La: 0.000 0.000 0.333 (multiplicity 4)
Bi: 0.000 0.500 0.000 (multiplicity 2)
Te: 0.000 0.500 0.334 (multiplicity 4)

Calculated values
Energy = -67.1 eV/cell
E_form (uncorrected) = -1433 meV per atom
ρ = 7.0 g/cm³